# BeCdTe2F | the Alexandria database | PBE-GGA | relaxed
# uncorrected formation energy = -46 kJ per mole of atoms
# ρ = 5.54 g cm⁻³
# crystal system = tetragonal
# total DFT energy (no corrections) = -3.036 eV per atom
data_BeCdTe2F
_chemical_formula_sum 'Be1 Cd1 Te2 F1'
_cell_length_a 6.232
_cell_length_b 6.232
_cell_length_c 3.053
_cell_angle_alpha 90.00
_cell_angle_beta 90.00
_cell_angle_gamma 90.00
_space_group_name_H-M_alt 'P 4/m m m'
_space_group_IT_number 123
_space_group_name_Hall '-P 4 2'
loop_
_atom_site_label
_atom_site_fract_x
_atom_site_fract_y
_atom_site_fract_z
Be1 0.000 0.000 0.000
Cd1 0.500 0.500 0.000
Te1 0.000 0.500 0.500
F1 0.000 0.000 0.500

---

# Be3Tl2Cd2F12 | the Alexandria database | PBE-GGA | relaxed
# uncorrected formation energy = -256 kJ per mole of atoms
# ρ = 4.94 g cm⁻³
# crystal system = cubic
# total DFT energy (no corrections) = -4.765 eV per atom
data_Be3Tl2Cd2F12
_chemical_formula_sum 'Be12 Tl8 Cd8 F48'
_cell_length_a 10.613
_cell_length_b 10.613
_cell_length_c 10.613
_cell_angle_alpha 90.00
_cell_angle_beta 90.00
_cell_angle_gamma 90.00
_space_group_name_H-M_alt 'P 21 3'
_space_group_IT_number 198
_space_group_name_Hall 'P 2ac 2ab 3'
loop_
_atom_site_label
_atom_site_fract_x
_atom_site_fract_y
_atom_site_fract_z
Be1 0.012 0.224 0.374
Tl1 0.049 0.049 0.049
Tl2 0.191 0.309 0.691
Cd1 0.088 0.912 0.412
Cd2 0.171 0.671 0.829
F1 0.014 0.083 0.727
F2 0.016 0.088 0.316
F3 0.041 0.820 0.225
F4 0.081 0.854 0.764

---

# Be2CdFe2 | the Alexandria database | PBE-GGA | relaxed
# polymorph energy (0 for the lowest one) = 83 meV per atom
# ρ = 6.69 g cm⁻³
# DFT formation energy = 0.215 eV per atom
# crystal system = tetragonal
# total DFT energy (no corrections) = -4.844 eV per atom
data_Be2CdFe2
_chemical_formula_sum 'Be4 Cd2 Fe4'
_cell_length_a 6.843
_cell_length_b 6.843
_cell_length_c 2.566
_cell_angle_alpha 90.00
_cell_angle_beta 90.00
_cell_angle_gamma 90.00
_space_group_name_H-M_alt 'P 4/m b m'
_space_group_IT_number 127
_space_group_name_Hall '-P 4 2ab'
loop_
_atom_site_label
_atom_site_fract_x
_atom_site_fract_y
_atom_site_fract_z
Be1 0.172 0.328 0.000
Cd1 0.000 0.000 0.500
Fe1 0.120 0.620 0.500

---

# BeCdFe3 | the Alexandria database | PBE-GGA | relaxed
# polymorph energy (0 for the lowest one) = 0 meV per atom
# ρ = 7.22 g cm⁻³
# DFT formation energy = 0.479 eV per atom
# crystal system = cubic
# total DFT energy (no corrections) = -5.527 eV per atom
data_BeCdFe3
_chemical_formula_sum 'Be1 Cd1 Fe3'
_cell_length_a 4.051
_cell_length_b 4.051
_cell_length_c 4.051
_cell_angle_alpha 90.00
_cell_angle_beta 90.00
_cell_angle_gamma 90.00
_space_group_name_H-M_alt 'P m -3 m'
_space_group_IT_number 221
_space_group_name_Hall '-P 4 2 3'
loop_
_atom_site_label
_atom_site_fract_x
_atom_site_fract_y
_atom_site_fract_z
Be1 0.000 0.000 0.000
Cd1 0.500 0.500 0.500
Fe1 0.000 0.000 0.500

---

# Be2CdFe | the Alexandria database | PBE-GGA | relaxed
# ρ = 6.41 g cm⁻³
# DFT formation energy = 0.213 eV per atom
# crystal system = tetragonal
# total DFT energy (no corrections) = -3.995 eV per atom
data_Be2CdFe
_chemical_formula_sum 'Be2 Cd1 Fe1'
_cell_length_a 2.760
_cell_length_b 2.760
_cell_length_c 6.332
_cell_angle_alpha 90.00
_cell_angle_beta 90.00
_cell_angle_gamma 90.00
_space_group_name_H-M_alt 'P 4 m m'
_space_group_IT_number 99
loop_
_space_group_symop_operation_xyz
'x,y,z'
'-y,x,z'
'-x,-y,z'
'y,-x,z'
'-x,y,z'
'y,x,z'
'x,-y,z'
'-y,-x,z'
loop_
_atom_site_label
_atom_site_fract_x
_atom_site_fract_y
_atom_site_fract_z
Be1 0.000 0.000 0.000
Be2 0.500 0.500 0.167
Cd1 0.000 0.000 0.462
Fe1 0.500 0.500 0.791

---

# Be2CdFe | the Alexandria database | PBE-GGA | relaxed
# ρ = 5.56 g cm⁻³
# DFT formation energy = 0.646 eV per atom
# crystal system = tetragonal
# total DFT energy (no corrections) = -3.561 eV per atom
data_Be2CdFe
_chemical_formula_sum 'Be8 Cd4 Fe4'
_cell_length_a 3.789
_cell_length_b 3.789
_cell_length_c 15.509
_cell_angle_alpha 90.00
_cell_angle_beta 90.00
_cell_angle_gamma 90.00
_space_group_name_H-M_alt 'I -4 2 d'
_space_group_IT_number 122
_space_group_name_Hall 'I -4 2bw'
loop_
_atom_site_label
_atom_site_fract_x
_atom_site_fract_y
_atom_site_fract_z
Be1 0.124 0.250 0.125
Cd1 0.000 0.000 0.500
Fe1 0.000 0.000 0.000